A plane-wave DFT calculation with PBE with a Hubbard U was carried out for a relaxed Na2NiSeF crystal.

Geometry as POSCAR:
```
Na2NiSeF
1.0
5.4699 0.0000 0.0000
0.0000 4.3544 0.0000
0.0000 0.0000 5.4699
Na Se Ni F
2 1 1 1
direct
0.0000 0.0000 0.5000
0.5000 0.0000 0.0000
0.0000 0.0000 0.0000
0.0000 0.5000 0.0000
0.5000 0.5000 0.5000
```

Energy relative to the lowest polymorph listed for this composition = 0 meV/atom
V = 130.3 Å³/f.u.
Uncorrected energy = -14.01 eV for the cell shown